# ZnNi2Au | the Open Quantum Materials Database | PBE-GGA | optimized geometry
# Magnetic moment ... 0.00 Bohr magnetons per cell
# E_form ... -0.0524 eV/atom
# V ... 13.34 A^3/atom
# Space-group type ... F-43m (216)
data_ZnNi2Au
_symmetry_space_group_name_H-M 'P 1'
_symmetry_Int_Tables_number 1
_symmetry_space_group_name_Hall 'P 1'
_cell_length_a 4.226
_cell_length_b 4.226
_cell_length_c 4.226
_cell_angle_alpha 60.00
_cell_angle_beta 60.00
_cell_angle_gamma 60.00
loop_
_atom_site_label
_atom_site_type_symbol
_atom_site_fract_x
_atom_site_fract_y
_atom_site_fract_z
_atom_site_occupancy
Au1 Au 0.250 0.250 0.250 1
Ni1 Ni 0.500 0.500 0.500 1
Ni2 Ni 0.750 0.750 0.750 1
Zn1 Zn 0.000 0.000 0.000 1